# 1
Material: Ac3Pr4Ge4
Method: DFT, PBE-GGA
State: optimized geometry

The structure in POSCAR format:
```
Ac3Pr4Ge4
1.0
4.273 0.000 0.000
0.000 9.011 0.000
-2.137 -4.505 8.888
Pr Ac Ge
4 3 4
Direct
0.672 0.852 0.344
0.328 0.508 0.656
0.672 0.492 0.344
0.328 0.148 0.656
0.099 0.099 0.197
0.901 0.901 0.803
0.000 0.500 0.000
0.736 0.236 0.472
0.500 0.222 0.000
0.264 0.764 0.528
0.500 0.778 0.000
```

## Properties
Calculated total energy (eV/atom): -5.12
Formation energy (eV/atom): -0.5844
Calculated density (g/cm³): 7.4


# 2
Material: Ac5Pr2Ge4
Method: DFT, PBE-GGA
State: optimized geometry

The structure in POSCAR format:
```
Ac5Pr2Ge4
1.0
4.120 0.000 0.000
0.000 7.269 0.897
-2.060 -1.416 13.223
Ge Ac Pr
4 5 2
Direct
0.333 0.502 0.665
0.667 0.498 0.335
0.979 0.350 0.957
0.021 0.650 0.043
0.133 0.805 0.266
0.867 0.195 0.734
0.767 0.738 0.534
0.233 0.262 0.466
0.500 0.000 0.000
0.907 0.678 0.814
0.093 0.322 0.186
```

## Properties
Calculated total energy (eV/atom): -4.72
Formation energy (eV/atom): -0.3039
Calculated density (g/cm³): 7.1


# 3
Material: Ac5Pr2Ge5
Method: DFT, PBE-GGA
State: optimized geometry

The structure in POSCAR format:
```
Ac5Pr2Ge5
1.0
4.495 0.000 0.000
-2.248 7.453 -0.086
0.000 -3.697 12.510
Pr Ge Ac
2 5 5
Direct
0.957 0.915 0.212
0.043 0.085 0.788
0.685 0.370 0.800
0.114 0.227 0.416
0.315 0.630 0.200
0.000 0.000 0.000
0.886 0.773 0.584
0.741 0.482 0.355
0.342 0.684 0.950
0.259 0.518 0.645
0.500 0.000 0.500
0.658 0.316 0.050
```

## Properties
Calculated total energy (eV/atom): -5.05
Formation energy (eV/atom): -0.6159
Calculated density (g/cm³): 7.1